1.
Here is CaGe2Pd4 after structural relaxation from Alexandria via LeMat-Bulk. Energies are from PBE-GGA.

```
CaGe2Pd4
1.0
17.385 0.000 0.000
0.000 4.310 0.000
0.000 0.000 6.496
Ca Ge Pd
4 8 16
direct
0.139 0.250 0.010
0.361 0.750 0.510
0.639 0.250 0.490
0.861 0.750 0.990
0.041 0.750 0.740
0.217 0.250 0.505
0.283 0.750 0.005
0.459 0.250 0.240
0.541 0.750 0.760
0.717 0.250 0.995
0.783 0.750 0.495
0.959 0.250 0.260
0.027 0.750 0.141
0.074 0.250 0.498
0.187 0.750 0.720
0.189 0.750 0.292
0.311 0.250 0.792
0.313 0.250 0.220
0.426 0.750 0.998
0.473 0.250 0.641
0.527 0.750 0.359
0.574 0.250 0.002
0.687 0.750 0.780
0.689 0.750 0.208
0.811 0.250 0.708
0.813 0.250 0.280
0.926 0.750 0.502
0.973 0.250 0.859
```

Values from the calculation:
**E**: -5.193 eV per atom
**ΔE_f**: -0.62 eV per atom
**Space group**: Pnma, No. 62
**Magnetic moment**: 0.0 μB/cell

=====

2.
Here is Ca2GePd4 after structural relaxation from Alexandria via LeMat-Bulk. Energies are from PBE-GGA.

```
Ca2GePd4
1.0
-2.349 2.349 7.324
2.349 -2.349 7.324
2.349 2.349 -7.324
Ca Ge Pd
2 1 4
direct
0.139 0.139 0.000
0.861 0.861 0.000
0.500 0.500 0.000
0.000 0.500 0.500
0.336 0.336 0.000
0.500 0.000 0.500
0.664 0.664 0.000
```

Values from the calculation:
**E**: -4.550 eV per atom
**ΔE_f**: -0.35 eV per atom
**Space group**: I4/mmm, No. 139
**Magnetic moment**: 0.0 μB/cell

=====

3.
Here is CaGe4Pd6 after structural relaxation from Alexandria via LeMat-Bulk. Energies are from PBE-GGA.

```
CaGe4Pd6
1.0
7.382 0.000 0.000
-3.691 6.393 0.000
0.000 0.000 3.919
Ca Ge Pd
1 4 6
direct
0.000 0.000 0.000
0.333 0.667 0.000
0.381 0.190 0.500
0.810 0.190 0.500
0.810 0.619 0.500
0.200 0.400 0.500
0.200 0.800 0.500
0.536 0.071 0.000
0.536 0.464 0.000
0.600 0.800 0.500
0.929 0.464 0.000
```

Values from the calculation:
**E**: -5.332 eV per atom
**ΔE_f**: -0.64 eV per atom
**Space group**: P-6m2, No. 187
**Magnetic moment**: 0.0 μB/cell

=====

4.
Here is CaGePd2 after structural relaxation from Alexandria via LeMat-Bulk. Energies are from PBE-GGA.

```
CaGePd2
1.0
7.576 0.000 0.000
0.000 7.096 0.000
0.000 0.000 5.612
Ca Ge Pd
4 4 8
direct
0.025 0.250 0.132
0.475 0.750 0.632
0.525 0.250 0.368
0.975 0.750 0.868
0.124 0.750 0.368
0.376 0.250 0.868
0.624 0.750 0.132
0.876 0.250 0.632
0.171 0.053 0.601
0.171 0.447 0.601
0.329 0.553 0.101
0.329 0.947 0.101
0.671 0.053 0.899
0.671 0.447 0.899
0.829 0.553 0.399
0.829 0.947 0.399
```

Values from the calculation:
**E**: -5.025 eV per atom
**ΔE_f**: -0.77 eV per atom
**Space group**: Pnma, No. 62
**Magnetic moment**: 0.0 μB/cell

=====

5.
Here is Ca3Ge2Pd6 after structural relaxation from Alexandria via LeMat-Bulk. Energies are from PBE-GGA.

```
Ca3Ge2Pd6
1.0
-4.793 4.793 4.793
4.793 -4.793 4.793
4.793 4.793 -4.793
Ca Ge Pd
6 4 12
direct
0.000 0.303 0.303
0.000 0.697 0.697
0.303 0.000 0.303
0.303 0.303 0.000
0.697 0.000 0.697
0.697 0.697 0.000
0.000 0.000 0.500
0.000 0.500 0.000
0.500 0.000 0.000
0.500 0.500 0.500
0.000 0.318 0.682
0.000 0.682 0.318
0.318 0.000 0.682
0.318 0.318 0.635
0.318 0.635 0.318
0.318 0.682 0.000
0.365 0.682 0.682
0.635 0.318 0.318
0.682 0.000 0.318
0.682 0.318 0.000
0.682 0.365 0.682
0.682 0.682 0.365
```

Values from the calculation:
**E**: -4.921 eV per atom
**ΔE_f**: -0.70 eV per atom
**Space group**: Im-3m, No. 229
**Magnetic moment**: 0.3 μB/cell

=====

6.
Here is Ca8GePd2 after structural relaxation from Alexandria via LeMat-Bulk. Energies are from PBE-GGA.

```
Ca8GePd2
1.0
4.478 -6.652 0.000
4.478 6.652 0.000
-1.757 0.000 5.789
Ca Ge Pd
8 1 2
direct
0.000 0.000 0.000
0.029 0.293 0.613
0.145 0.592 0.195
0.293 0.029 0.613
0.435 0.700 0.800
0.592 0.145 0.195
0.700 0.435 0.800
0.728 0.728 0.380
0.366 0.366 0.045
0.045 0.673 0.683
0.673 0.045 0.683
```

Values from the calculation:
**E**: -3.210 eV per atom
**ΔE_f**: -0.39 eV per atom
**Space group**: Cm, No. 8
**Magnetic moment**: 0.0 μB/cell

=====

7.
Here is Ca2GePd after structural relaxation from Alexandria via LeMat-Bulk. Energies are from PBE-GGA.

```
Ca2GePd
1.0
2.173 1.255 7.221
-2.173 1.255 7.221
0.000 -2.510 7.221
Ca Ge Pd
2 1 1
direct
0.000 0.000 0.000
0.171 0.171 0.171
0.418 0.418 0.418
0.753 0.753 0.753
```

Values from the calculation:
**E**: -4.067 eV per atom
**ΔE_f**: -0.61 eV per atom
**Space group**: R3m, No. 160
**Magnetic moment**: 0.0 μB/cell

=====

8.
Here is CaGe2Pd after structural relaxation from Alexandria via LeMat-Bulk. Energies are from PBE-GGA.

```
CaGe2Pd
1.0
7.015 0.000 0.000
0.000 4.271 0.000
0.000 0.000 10.963
Ca Ge Pd
4 8 4
direct
0.151 0.250 0.137
0.349 0.750 0.637
0.651 0.250 0.363
0.849 0.750 0.863
0.027 0.250 0.642
0.164 0.250 0.858
0.336 0.750 0.358
0.473 0.750 0.142
0.527 0.250 0.858
0.664 0.250 0.642
0.836 0.750 0.142
0.973 0.750 0.358
0.159 0.250 0.423
0.341 0.750 0.923
0.659 0.250 0.077
0.841 0.750 0.577
```

Values from the calculation:
**E**: -4.723 eV per atom
**ΔE_f**: -0.62 eV per atom
**Space group**: Pnma, No. 62
**Magnetic moment**: 0.0 μB/cell

=====

9.
Here is Ca3Ge2Pd after structural relaxation from Alexandria via LeMat-Bulk. Energies are from PBE-GGA.

```
Ca3Ge2Pd
1.0
11.843 0.000 0.000
0.000 4.441 0.000
0.000 0.000 11.579
Ca Ge Pd
12 8 4
direct
0.057 0.250 0.117
0.118 0.750 0.558
0.207 0.250 0.806
0.293 0.750 0.306
0.382 0.250 0.058
0.443 0.750 0.617
0.557 0.250 0.383
0.618 0.750 0.942
0.707 0.250 0.694
0.793 0.750 0.194
0.882 0.250 0.442
0.943 0.750 0.883
0.031 0.750 0.303
0.201 0.750 0.998
0.299 0.250 0.498
0.469 0.250 0.803
0.531 0.750 0.197
0.701 0.750 0.502
0.799 0.250 0.002
0.969 0.250 0.697
0.124 0.250 0.367
0.376 0.750 0.867
0.624 0.250 0.133
0.876 0.750 0.633
```

Values from the calculation:
**E**: -4.064 eV per atom
**ΔE_f**: -0.66 eV per atom
**Space group**: Pnma, No. 62
**Magnetic moment**: 0.0 μB/cell

=====

10.
Here is CaGe2Pd after structural relaxation from Alexandria via LeMat-Bulk. Energies are from PBE-GGA.

```
CaGe2Pd
1.0
2.130 1.230 5.247
-2.130 1.230 5.247
0.000 -2.459 5.247
Ca Ge Pd
1 2 1
direct
0.000 0.000 0.000
0.218 0.218 0.218
0.782 0.782 0.782
0.500 0.500 0.500
```

Values from the calculation:
**E**: -4.710 eV per atom
**ΔE_f**: -0.60 eV per atom
**Space group**: R-3m, No. 166
**Magnetic moment**: 0.0 μB/cell

=====

11.
Here is Ca5GePd2 after structural relaxation from Alexandria via LeMat-Bulk. Energies are from PBE-GGA.

```
Ca5GePd2
1.0
-3.881 3.881 7.158
3.881 -3.881 7.158
3.881 3.881 -7.158
Ca Ge Pd
10 2 4
direct
0.000 0.000 0.000
0.030 0.530 0.843
0.187 0.030 0.500
0.313 0.813 0.843
0.470 0.313 0.500
0.500 0.500 0.000
0.530 0.687 0.500
0.687 0.187 0.157
0.813 0.970 0.500
0.970 0.470 0.157
0.250 0.250 0.000
0.750 0.750 0.000
0.125 0.375 0.500
0.375 0.875 0.250
0.625 0.125 0.750
0.875 0.625 0.500
```

Values from the calculation:
**E**: -3.731 eV per atom
**ΔE_f**: -0.61 eV per atom
**Space group**: I4/mcm, No. 140
**Magnetic moment**: 0.0 μB/cell

=====

12.
Here is CaGe2Pd3 after structural relaxation from Alexandria via LeMat-Bulk. Energies are from PBE-GGA.

```
CaGe2Pd3
1.0
8.390 -2.029 0.000
8.390 2.029 0.000
-3.037 0.000 9.612
Ca Ge Pd
3 6 9
direct
0.000 0.000 0.000
0.158 0.158 0.700
0.842 0.842 0.300
0.196 0.196 0.130
0.362 0.362 0.546
0.460 0.460 0.219
0.540 0.540 0.781
0.638 0.638 0.454
0.804 0.804 0.870
0.039 0.039 0.328
0.217 0.217 0.394
0.320 0.320 0.036
0.380 0.380 0.801
0.500 0.500 0.500
0.620 0.620 0.199
0.680 0.680 0.964
0.783 0.783 0.606
0.961 0.961 0.672
```

Values from the calculation:
**E**: -5.163 eV per atom
**ΔE_f**: -0.69 eV per atom
**Space group**: C2/m, No. 12
**Magnetic moment**: 0.0 μB/cell

=====

- The highest E belongs to which entry?
  Ca8GePd2